DFT (GGA-PBE) results for crystalline Mn2TlSe at its relaxed geometry.

Lattice parameters (Å, degrees): 3.2934 3.2934 7.2324 90.00 90.00 90.00
Last column: nearest neighbours and their distance in Å.
Fractional positions:
Mn1 0.0000 0.0000 0.0000  1 Se 2.51, 4 Mn 2.77
Mn2 0.5000 0.5000 0.2065  4 Se 2.54, 4 Mn 2.77
Tl1 0.5000 0.5000 0.7594  5 Mn 2.91-3.23
Se1 0.0000 0.0000 0.3466  5 Mn 2.51-2.54

Calculated values
The size of the total moment is 6.418 μB per formula unit. The formation energy (no corrections) is 117 meV/atom. The calculation puts the final energy at -5.93 eV/atom. The energy relative to the lowest polymorph listed for this composition comes out at 0 meV per atom. The value obtained for the calculated volume is 78.4 Å³/cell.